No. 1
CdCoPW | PBE | relaxed

a = 3.2323 Å, b = 2.7753 Å, c = 13.5066 Å
α = 90.00°, β = 90.00°, γ = 90.00°
Closest atoms and distances in Å follow each position.
Element x y z (fractional)
1 Cd 0.0000 0.0000 0.4975  2 Cd 2.78, 1 P 2.85, 4 Co 3.01, 4 W 3.02
2 Cd 0.0000 0.5000 0.9975  2 Cd 2.78, 1 P 2.85, 4 Co 3.01, 4 W 3.02
3 Co 0.5000 0.0000 0.1554  4 P 2.25
4 Co 0.5000 0.5000 0.6554  4 P 2.25
5 P 0.0000 0.0000 0.7088  4 Co 2.25, 2 W 2.39
6 P 0.0000 0.5000 0.2088  4 Co 2.25, 2 W 2.39
7 W 0.5000 0.0000 0.8387  2 P 2.39
8 W 0.5000 0.5000 0.3387  2 P 2.39

Properties
DFT formation energy, eV per atom: 0.105
Energy above the most stable polymorph in this dataset, meV/atom: 126
Fermi-level density of states, states/eV/cell: 5.53

=====

No. 2
CdCoPW | PBE | relaxed

a = 3.1029 Å, b = 3.1029 Å, c = 22.0549 Å
α = 90.00°, β = 90.00°, γ = 120.00°
Closest atoms and distances in Å follow each position.
Element x y z (fractional)
1 Cd 0.0000 0.0000 0.6679  3 Co 2.77, 3 W 3.00
2 Cd 0.3333 0.6667 0.3346  3 Co 2.77, 3 W 3.00
3 Cd 0.6667 0.3333 0.0012  3 Co 2.77, 3 W 3.00
4 Co 0.0000 0.0000 0.2391  3 P 2.18
5 Co 0.3333 0.6667 0.9057  3 P 2.18
6 Co 0.6667 0.3333 0.5724  3 P 2.18
7 P 0.0000 0.0000 0.8491  3 Co 2.18, 3 W 2.39
8 P 0.3333 0.6667 0.5157  3 Co 2.18, 3 W 2.39
9 P 0.6667 0.3333 0.1824  3 Co 2.18, 3 W 2.39
10 W 0.0000 0.0000 0.1104  3 P 2.39
11 W 0.3333 0.6667 0.7771  3 P 2.39
12 W 0.6667 0.3333 0.4437  3 P 2.39

Properties
DFT formation energy, eV per atom: -0.013
Energy above the most stable polymorph in this dataset, meV/atom: 8
Fermi-level density of states, states/eV/cell: 7.10

=====

No. 3
CdCoPW | PBE | relaxed

a = 2.8591 Å, b = 4.6209 Å, c = 5.3226 Å
α = 78.14°, β = 90.01°, γ = 72.00°
Closest atoms and distances in Å follow each position.
Element x y z (fractional)
1 Cd 0.8973 0.0596 0.9855  3 Co 2.79-2.81, 2 Cd 2.86, 4 W 2.99-3.05
2 Co 0.1376 0.5807 0.7172  2 P 2.19
3 P 0.6644 0.5269 0.4173  2 Co 2.19, 1 W 2.42
4 W 0.3989 0.0573 0.4793  3 P 2.42-2.47, 2 Co 2.62

Properties
DFT formation energy, eV per atom: 0.184
Energy above the most stable polymorph in this dataset, meV/atom: 205
Fermi-level density of states, states/eV/cell: 2.97

=====

No. 4
CdCoPW | PBE | relaxed

a = 8.5725 Å, b = 3.1443 Å, c = 4.5869 Å
α = 90.00°, β = 101.96°, γ = 90.00°
Closest atoms and distances in Å follow each position.
Element x y z (fractional)
1 Cd 0.9997 0.0000 0.7571  4 Cd 2.78, 3 Co 2.79-2.91, 2 W 2.98
2 Cd 0.9997 0.5000 0.2571  4 Cd 2.78, 3 Co 2.79-2.91, 2 W 2.98
3 Co 0.2688 0.0000 0.4625  3 P 2.14-2.19
4 Co 0.2688 0.5000 0.9625  3 P 2.14-2.19
5 P 0.4335 0.0000 0.1693  3 Co 2.14-2.19, 1 W 2.38
6 P 0.4335 0.5000 0.6693  3 Co 2.14-2.19, 1 W 2.38
7 W 0.6986 0.0000 0.0859  1 P 2.38
8 W 0.6986 0.5000 0.5859  1 P 2.38

Properties
DFT formation energy, eV per atom: 0.161
Energy above the most stable polymorph in this dataset, meV/atom: 182
Fermi-level density of states, states/eV/cell: 4.63

=====

No. 5
CdCoPW | PBE | relaxed

a = 5.0114 Å, b = 2.8442 Å, c = 8.9330 Å
α = 90.00°, β = 111.71°, γ = 90.00°
Closest atoms and distances in Å follow each position.
Element x y z (fractional)
1 Cd 0.9753 0.0000 0.4550  3 Co 2.57-2.67, 2 P 2.80, 2 Cd 2.84
2 Cd 0.9753 0.5000 0.9550  3 Co 2.57-2.67, 2 P 2.80, 2 Cd 2.84
3 Co 0.7796 0.0000 0.6835  2 P 2.19
4 Co 0.7796 0.5000 0.1835  2 P 2.19
5 P 0.4853 0.0000 0.0158  2 Co 2.19
6 P 0.4853 0.5000 0.5158  2 Co 2.19
7 W 0.3591 0.0000 0.2577  3 P 2.47-2.58
8 W 0.3591 0.5000 0.7577  3 P 2.47-2.58

Properties
DFT formation energy, eV per atom: 0.201
Energy above the most stable polymorph in this dataset, meV/atom: 222
Fermi-level density of states, states/eV/cell: 6.71

=====

No. 6
ZnCdCoP2 | PBE | relaxed

a = 4.3148 Å, b = 4.7810 Å, c = 4.3148 Å
α = 90.00°, β = 90.00°, γ = 90.00°
Closest atoms and distances in Å follow each position.
Element x y z (fractional)
1 P 0.0000 0.0000 0.5000  2 Co 2.16
2 P 0.5000 0.0000 0.0000  2 Co 2.16
3 Zn 0.0000 0.5000 0.0000  2 Co 2.39
4 Co 0.0000 0.0000 0.0000  4 P 2.16, 2 Zn 2.39
5 Cd 0.5000 0.5000 0.5000  4 Zn 3.05, 8 P 3.22

Properties
DFT formation energy, eV per atom: 0.293
Fermi-level density of states, states/eV/cell: 3.04